! Y2Al12Pd7 (PBE, relaxed); values from VASP
&SYSTEM
  ibrav = 0, nat = 21, ntyp = 3
/
ATOMIC_SPECIES
Y 88.91 Y.upf
Al 26.98 Al.upf
Pd 106.42 Pd.upf
ATOMIC_POSITIONS angstrom
Y 0.000 0.000 0.000
Y 0.000 5.709 2.102
Al -3.468 6.283 2.102
Al -0.392 3.318 0.000
Al -1.874 7.244 0.000
Al 1.237 2.419 2.102
Al 2.833 1.462 0.000
Al 4.717 1.116 2.102
Al 3.552 3.921 2.102
Al 2.267 6.565 0.000
Al 2.230 8.425 2.102
Al 4.794 5.380 0.000
Al 7.206 1.722 0.000
Al 6.563 3.527 2.102
Pd -2.553 4.779 0.000
Pd 2.372 0.056 2.102
Pd 2.082 3.963 0.000
Pd 0.471 8.385 0.000
Pd 4.944 2.855 0.000
Pd 3.807 6.482 2.102
Pd 8.654 2.026 2.102
CELL_PARAMETERS angstrom
9.888 0.000 0.000
-4.944 8.564 0.000
0.000 0.000 4.203
! Formation energy from the elements: -16.286 eV per formula unit
! SG: No. 174
! N(E_F): 0.320 states/eV/atom
! Magnetic moment: 0.00 μB per formula unit

***

! Y12AlPd6 (PBE, relaxed); values from VASP
&SYSTEM
  ibrav = 0, nat = 19, ntyp = 3
/
ATOMIC_SPECIES
Y 88.91 Y.upf
Al 26.98 Al.upf
Pd 106.42 Pd.upf
ATOMIC_POSITIONS angstrom
Y 4.982 -2.041 3.163
Y 2.940 1.819 0.000
Y 7.023 1.819 0.000
Y 3.163 4.982 -2.041
Y 1.819 0.000 2.940
Y 0.000 2.940 1.819
Y 4.982 2.041 3.163
Y 3.163 4.982 2.041
Y 1.819 0.000 7.023
Y -2.041 3.163 4.982
Y 2.041 3.163 4.982
Y 0.000 7.023 1.819
Al 0.000 0.000 0.000
Pd 4.982 0.000 1.363
Pd 4.982 3.618 0.000
Pd 1.363 4.982 0.000
Pd 3.618 0.000 4.982
Pd 0.000 1.363 4.982
Pd 0.000 4.982 3.618
CELL_PARAMETERS angstrom
-4.982 4.982 4.982
4.982 -4.982 4.982
4.982 4.982 -4.982
! Formation energy from the elements: -11.372 eV per formula unit
! SG: No. 204
! N(E_F): 0.959 states/eV/atom
! Magnetic moment: 0.00 μB per formula unit

***

! YAl8Pd4 (PBE, relaxed); values from VASP
&SYSTEM
  ibrav = 0, nat = 13, ntyp = 3
/
ATOMIC_SPECIES
Y 88.91 Y.upf
Al 26.98 Al.upf
Pd 106.42 Pd.upf
ATOMIC_POSITIONS angstrom
Y 0.000 0.000 0.000
Al 3.077 0.000 0.000
Al 5.766 0.000 0.000
Al 4.421 2.472 0.000
Al 0.000 3.077 0.000
Al 2.472 4.421 0.000
Al 1.950 0.000 2.722
Al 0.000 5.766 0.000
Al 0.000 1.950 2.722
Pd 2.211 2.211 -1.361
Pd 2.211 -2.211 1.361
Pd -2.211 2.211 1.361
Pd 2.211 2.211 1.361
CELL_PARAMETERS angstrom
-4.421 4.421 2.722
4.421 -4.421 2.722
4.421 4.421 -2.722
! Formation energy from the elements: -9.400 eV per formula unit
! SG: No. 139
! N(E_F): 0.273 states/eV/atom
! Magnetic moment: 0.00 μB per formula unit

***

! Y5AlPd2 (PBE, relaxed); values from VASP
&SYSTEM
  ibrav = 0, nat = 16, ntyp = 3
/
ATOMIC_SPECIES
Y 88.91 Y.upf
Al 26.98 Al.upf
Pd 106.42 Pd.upf
ATOMIC_POSITIONS angstrom
Y 0.000 0.000 0.000
Y 5.149 1.251 -1.942
Y 1.251 2.647 -1.942
Y 5.149 1.251 1.942
Y 1.251 2.647 1.942
Y 0.000 0.000 6.751
Y 2.647 1.251 4.809
Y -1.251 2.647 4.809
Y 2.647 1.251 8.692
Y -1.251 2.647 8.692
Al 0.000 0.000 3.375
Al 0.000 0.000 10.126
Pd 2.862 1.036 0.000
Pd 2.862 -1.036 6.751
Pd 1.036 4.934 0.000
Pd 1.036 2.862 6.751
CELL_PARAMETERS angstrom
-3.898 3.898 6.751
3.898 -3.898 6.751
3.898 3.898 -6.751
! Formation energy from the elements: -4.479 eV per formula unit
! SG: No. 140
! N(E_F): 1.339 states/eV/atom
! Magnetic moment: 0.10 μB per formula unit

***

! YAlPd2 (PBE, relaxed); values from VASP
&SYSTEM
  ibrav = 0, nat = 4, ntyp = 3
/
ATOMIC_SPECIES
Y 88.91 Y.upf
Al 26.98 Al.upf
Pd 106.42 Pd.upf
ATOMIC_POSITIONS angstrom
Y 0.000 0.000 0.000
Al 0.000 0.000 5.181
Pd 0.000 0.000 2.825
Pd 0.000 0.000 7.536
CELL_PARAMETERS angstrom
-1.513 2.547 5.181
1.513 -2.547 5.181
1.513 2.547 -5.181
! Formation energy from the elements: -0.543 eV per formula unit
! SG: No. 71
! N(E_F): 0.727 states/eV/atom
! Magnetic moment: 0.00 μB per formula unit

***

! Y2Al5Pd3 (PBE, relaxed); values from VASP
&SYSTEM
  ibrav = 0, nat = 20, ntyp = 3
/
ATOMIC_SPECIES
Y 88.91 Y.upf
Al 26.98 Al.upf
Pd 106.42 Pd.upf
ATOMIC_POSITIONS angstrom
Y 2.281 1.857 0.000
Y 2.281 -1.857 2.857
Y 2.847 8.237 0.000
Y 2.847 4.522 2.857
Al 5.128 -2.652 1.428
Al 6.888 1.161 0.000
Al 0.000 0.000 1.428
Al 1.760 5.219 0.000
Al 5.128 2.652 1.428
Al 0.000 3.728 1.428
Al 3.368 1.161 2.857
Al 0.000 0.000 4.285
Al -1.760 5.219 2.857
Al 0.000 9.032 1.428
Pd 4.161 -4.540 2.857
Pd 5.128 0.000 1.428
Pd 4.161 4.540 0.000
Pd 0.967 1.840 2.857
Pd 0.000 6.380 1.428
Pd 0.967 10.920 0.000
CELL_PARAMETERS angstrom
-5.128 6.380 2.857
5.128 -6.380 2.857
5.128 6.380 -2.857
! Formation energy from the elements: -8.021 eV per formula unit
! Energy above the lowest structure with this stoichiometry: 0.000 eV per atom
! SG: No. 72
! N(E_F): 0.471 states/eV/atom
! Magnetic moment: 0.00 μB per formula unit

***

! Y3Al2Pd6 (PBE, relaxed); values from VASP
&SYSTEM
  ibrav = 0, nat = 22, ntyp = 3
/
ATOMIC_SPECIES
Y 88.91 Y.upf
Al 26.98 Al.upf
Pd 106.42 Pd.upf
ATOMIC_POSITIONS angstrom
Y 2.791 0.000 0.000
Y 6.696 0.000 0.000
Y 0.000 2.791 0.000
Y 0.000 0.000 2.791
Y 0.000 6.696 0.000
Y 0.000 0.000 6.696
Al 2.372 2.372 -2.372
Al 2.372 -2.372 2.372
Al -2.372 2.372 2.372
Al 2.372 2.372 2.372
Pd 4.744 1.646 -1.646
Pd 4.744 -1.646 1.646
Pd 1.646 4.744 -1.646
Pd 3.098 3.098 0.000
Pd 3.098 0.000 3.098
Pd 1.646 -1.646 4.744
Pd 4.744 1.646 1.646
Pd 0.000 3.098 3.098
Pd -1.646 4.744 1.646
Pd -1.646 1.646 4.744
Pd 1.646 4.744 1.646
Pd 1.646 1.646 4.744
CELL_PARAMETERS angstrom
-4.744 4.744 4.744
4.744 -4.744 4.744
4.744 4.744 -4.744
! Formation energy from the elements: -9.840 eV per formula unit
! SG: No. 229
! N(E_F): 0.597 states/eV/atom
! Magnetic moment: 0.00 μB per formula unit

***

! Y2Al5Pd4 (PBE, relaxed); values from VASP
&SYSTEM
  ibrav = 0, nat = 11, ntyp = 3
/
ATOMIC_SPECIES
Y 88.91 Y.upf
Al 26.98 Al.upf
Pd 106.42 Pd.upf
ATOMIC_POSITIONS angstrom
Y 2.710 4.635 2.040
Y 2.710 4.635 14.235
Al 1.355 2.317 0.000
Al 1.355 2.317 4.069
Al 1.355 2.317 8.137
Al 2.710 4.635 8.137
Al 4.065 6.952 12.206
Pd 2.710 3.136 6.026
Pd 2.710 3.136 10.249
Pd 2.710 6.133 6.026
Pd 2.710 6.133 10.249
CELL_PARAMETERS angstrom
0.000 4.635 8.137
2.710 0.000 8.137
2.710 4.635 0.000
! Formation energy from the elements: -9.129 eV per formula unit
! SG: No. 69
! N(E_F): 0.371 states/eV/atom
! Magnetic moment: 0.00 μB per formula unit

***

! Y7Al2Pd2 (PBE, relaxed); values from VASP
&SYSTEM
  ibrav = 0, nat = 11, ntyp = 3
/
ATOMIC_SPECIES
Y 88.91 Y.upf
Al 26.98 Al.upf
Pd 106.42 Pd.upf
ATOMIC_POSITIONS angstrom
Y 0.000 0.000 0.000
Y 1.988 2.751 1.862
Y 1.988 2.751 5.198
Y 1.988 -2.751 1.862
Y 1.988 -2.751 5.198
Y 3.976 0.000 1.820
Y 3.976 0.000 5.240
Al 1.325 0.000 3.530
Al 6.627 0.000 3.530
Pd 3.976 2.293 0.000
Pd 3.976 -2.293 0.000
CELL_PARAMETERS angstrom
3.976 -5.501 0.000
3.976 5.501 0.000
0.000 0.000 7.060
! Formation energy from the elements: -3.311 eV per formula unit
! SG: No. 65
! N(E_F): 1.002 states/eV/atom
! Magnetic moment: 0.00 μB per formula unit

***

! Y2AlPd (PBE, relaxed); values from VASP
&SYSTEM
  ibrav = 0, nat = 4, ntyp = 3
/
ATOMIC_SPECIES
Y 88.91 Y.upf
Al 26.98 Al.upf
Pd 106.42 Pd.upf
ATOMIC_POSITIONS angstrom
Y 0.000 0.000 2.650
Y 0.000 0.000 27.210
Al 0.000 0.000 14.930
Pd 0.000 0.000 0.000
CELL_PARAMETERS angstrom
1.692 0.977 9.953
-1.692 0.977 9.953
0.000 -1.954 9.953
! Formation energy from the elements: -0.145 eV per formula unit
! SG: No. 166
! N(E_F): 0.476 states/eV/atom
! Magnetic moment: 0.00 μB per formula unit

***

! Y2Al3Pd2 (PBE, relaxed); values from VASP
&SYSTEM
  ibrav = 0, nat = 7, ntyp = 3
/
ATOMIC_SPECIES
Y 88.91 Y.upf
Al 26.98 Al.upf
Pd 106.42 Pd.upf
ATOMIC_POSITIONS angstrom
Y 0.710 0.000 1.733
Y 6.575 0.000 4.499
Al 3.666 0.000 0.384
Al 3.642 0.000 3.116
Al 3.619 0.000 5.849
Pd -0.690 0.000 4.499
Pd 7.975 0.000 1.734
CELL_PARAMETERS angstrom
5.077 -2.167 0.000
5.077 2.167 0.000
-2.870 0.000 6.233
! Formation energy from the elements: -5.586 eV per formula unit
! SG: No. 12
! N(E_F): 0.673 states/eV/atom
! Magnetic moment: 0.00 μB per formula unit

***

! YAl4Pd6 (PBE, relaxed); values from VASP
&SYSTEM
  ibrav = 0, nat = 11, ntyp = 3
/
ATOMIC_SPECIES
Y 88.91 Y.upf
Al 26.98 Al.upf
Pd 106.42 Pd.upf
ATOMIC_POSITIONS angstrom
Y 0.000 0.000 0.000
Al 2.120 2.120 -0.951
Al 1.040 -1.040 5.853
Al 1.040 1.040 3.952
Al -1.040 1.040 5.853
Pd 3.160 0.000 0.000
Pd 1.322 -1.322 3.126
Pd 1.838 1.838 1.776
Pd 0.000 3.160 0.000
Pd -1.322 1.322 3.126
Pd 1.322 1.322 6.678
CELL_PARAMETERS angstrom
-3.160 3.160 4.902
3.160 -3.160 4.902
3.160 3.160 -4.902
! Formation energy from the elements: -6.471 eV per formula unit
! SG: No. 121
! N(E_F): 0.572 states/eV/atom
! Magnetic moment: 0.00 μB per formula unit